[1]
# NiTePb2 (PBE, relaxed)
# Energy ... -16.17 eV/cell
data_NiTePb2
_chemical_formula_sum 'Ni1 Te1 Pb2'
_cell_length_a 4.2323
_cell_length_b 3.8861
_cell_length_c 6.6502
_cell_angle_alpha 90.00
_cell_angle_beta 108.39
_cell_angle_gamma 90.00
_space_group_name_H-M_alt 'P 1 m 1'
_space_group_IT_number 6
_space_group_name_Hall 'P -2y'
loop_
_atom_site_label
_atom_site_type_symbol
_atom_site_fract_x
_atom_site_fract_y
_atom_site_fract_z
Ni1 Ni 0.0000 0.0000 0.0000
Te1 Te 0.1373 0.5000 0.2709
Pb1 Pb 0.4429 0.5000 0.8793
Pb2 Pb 0.7814 0.0000 0.5560

=====

[2]
# NiTe2Pb (PBE, relaxed)
# Energy ... -30.76 eV/cell
data_NiTe2Pb
_chemical_formula_sum 'Ni2 Te4 Pb2'
_cell_length_a 3.8174
_cell_length_b 5.9167
_cell_length_c 9.2306
_cell_angle_alpha 90.00
_cell_angle_beta 90.00
_cell_angle_gamma 90.00
_space_group_name_H-M_alt 'C m m m'
_space_group_IT_number 65
_space_group_name_Hall '-C 2 2'
loop_
_atom_site_label
_atom_site_type_symbol
_atom_site_fract_x
_atom_site_fract_y
_atom_site_fract_z
Ni1 Ni 0.0000 0.0000 0.0000
Te1 Te 0.0000 0.5000 0.1828
Pb1 Pb 0.0000 0.0000 0.5000

=====

[3]
# NiTe2Pb (PBE, relaxed)
# Energy ... -16.06 eV/cell
data_NiTe2Pb
_chemical_formula_sum 'Ni1 Te2 Pb1'
_cell_length_a 4.6356
_cell_length_b 3.8286
_cell_length_c 6.5990
_cell_angle_alpha 90.00
_cell_angle_beta 109.81
_cell_angle_gamma 90.00
_space_group_name_H-M_alt 'P 1 2/m 1'
_space_group_IT_number 10
_space_group_name_Hall '-P 2y'
loop_
_atom_site_label
_atom_site_type_symbol
_atom_site_fract_x
_atom_site_fract_y
_atom_site_fract_z
Ni1 Ni 0.0000 0.0000 0.0000
Te1 Te 0.3198 0.5000 0.2049
Pb1 Pb 0.0000 0.0000 0.5000

=====

[4]
# NiTePb2 (PBE, relaxed)
# Energy ... -58.86 eV/cell
data_NiTePb2
_chemical_formula_sum 'Ni4 Te4 Pb8'
_cell_length_a 7.4341
_cell_length_b 7.4341
_cell_length_c 7.4341
_cell_angle_alpha 90.00
_cell_angle_beta 90.00
_cell_angle_gamma 90.00
_space_group_name_H-M_alt 'F -4 3 m'
_space_group_IT_number 216
_space_group_name_Hall 'F -4 2 3'
loop_
_atom_site_label
_atom_site_type_symbol
_atom_site_fract_x
_atom_site_fract_y
_atom_site_fract_z
Ni1 Ni 0.0000 0.0000 0.0000
Te1 Te 0.2500 0.2500 0.2500
Pb1 Pb 0.0000 0.0000 0.5000
Pb2 Pb 0.2500 0.2500 0.7500

=====

[5]
# NiTePb2 (PBE, relaxed)
# Energy ... -15.03 eV/cell
data_NiTePb2
_chemical_formula_sum 'Ni1 Te1 Pb2'
_cell_length_a 5.1760
_cell_length_b 5.1760
_cell_length_c 3.9213
_cell_angle_alpha 90.00
_cell_angle_beta 90.00
_cell_angle_gamma 90.00
_space_group_name_H-M_alt 'P 4/m m m'
_space_group_IT_number 123
_space_group_name_Hall '-P 4 2'
loop_
_atom_site_label
_atom_site_type_symbol
_atom_site_fract_x
_atom_site_fract_y
_atom_site_fract_z
Ni1 Ni 0.0000 0.0000 0.0000
Te1 Te 0.5000 0.5000 0.0000
Pb1 Pb 0.0000 0.5000 0.5000

=====

[6]
# NiTe2Pb (PBE, relaxed)
# Energy ... -49.10 eV/cell
data_NiTe2Pb
_chemical_formula_sum 'Ni3 Te6 Pb3'
_cell_length_a 3.9302
_cell_length_b 3.9302
_cell_length_c 22.9963
_cell_angle_alpha 90.00
_cell_angle_beta 90.00
_cell_angle_gamma 120.00
_space_group_name_H-M_alt 'R 3 m'
_space_group_IT_number 160
_space_group_name_Hall 'R 3 -2"'
loop_
_atom_site_label
_atom_site_type_symbol
_atom_site_fract_x
_atom_site_fract_y
_atom_site_fract_z
Ni1 Ni 0.0000 0.0000 0.0000
Te1 Te 0.0000 0.0000 0.3912
Te2 Te 0.0000 0.0000 0.6071
Pb1 Pb 0.0000 0.0000 0.1645

=====

[7]
# NiTe2Pb (PBE, relaxed)
# Energy ... -13.98 eV/cell
data_NiTe2Pb
_chemical_formula_sum 'Ni1 Te2 Pb1'
_cell_length_a 3.5976
_cell_length_b 5.1800
_cell_length_c 5.3699
_cell_angle_alpha 90.00
_cell_angle_beta 90.00
_cell_angle_gamma 90.00
_space_group_name_H-M_alt 'P m m m'
_space_group_IT_number 47
_space_group_name_Hall '-P 2 2'
loop_
_atom_site_label
_atom_site_type_symbol
_atom_site_fract_x
_atom_site_fract_y
_atom_site_fract_z
Ni1 Ni 0.0000 0.0000 0.0000
Te1 Te 0.0000 0.5000 0.5000
Te2 Te 0.5000 0.0000 0.5000
Pb1 Pb 0.5000 0.5000 0.0000

=====

[8]
# NiTePb (PBE, relaxed)
# E above lowest polymorph ... 192 meV/atom
# Energy ... -24.90 eV/cell
data_NiTePb
_chemical_formula_sum 'Ni2 Te2 Pb2'
_cell_length_a 3.3307
_cell_length_b 3.3307
_cell_length_c 12.8553
_cell_angle_alpha 90.00
_cell_angle_beta 90.00
_cell_angle_gamma 90.00
_space_group_name_H-M_alt 'I 4 m m'
_space_group_IT_number 107
_space_group_name_Hall 'I 4 -2'
loop_
_atom_site_label
_atom_site_type_symbol
_atom_site_fract_x
_atom_site_fract_y
_atom_site_fract_z
Ni1 Ni 0.0000 0.0000 0.0000
Te1 Te 0.0000 0.0000 0.4028
Pb1 Pb 0.0000 0.0000 0.6559

=====

no.,calculated volume (Å³ per atom),uncorrected formation energy (eV/atom)
1,25.9,0.042
2,26.1,0.099
3,27.5,-0.071
4,25.7,0.406
5,26.3,0.328
6,25.6,-0.149
7,25.0,0.447
8,23.8,0.060